Here is a crystal of ZnSi2Ru relaxed with PBEsol from Alexandria. Energies are from meta-GGA SCAN.

Properties
ρ in g/cm3: 7.2
Symmetry: I-4m2 (119)
Total magnetic moment in μB/f.u.: 0.00
Density of states at the Fermi level in states/eV/atom: 0.296
Calculated volume in Å³ per cell: 52
Raw total energy in Ha/atom: -0.6270

Cell and atoms, written as POSCAR:
```
ZnSi2Ru
1.0
-0.6946 3.5433 -0.6955
-2.4577 -0.9849 -2.5627
-1.1727 -1.2991 4.2730
Zn Si Ru
1 2 1
Direct
0.4999 0.4999 0.9997
0.0001 0.0001 0.0001
0.7500 0.2500 0.5000
0.2501 0.7501 0.5002
```



Here is a crystal of Zr2SiRu relaxed with PBEsol from Alexandria. Energies are from meta-GGA SCAN.

Properties
ρ in g/cm3: 7.6
Symmetry: I4/mmm (139)
Total magnetic moment in μB/f.u.: 0.00
Density of states at the Fermi level in states/eV/atom: 0.749
Calculated volume in Å³ per cell: 68
Raw total energy in Ha/atom: -0.9952

Cell and atoms, written as POSCAR:
```
Zr2SiRu
1.0
-0.6633 1.9320 3.7239
2.0147 -4.3716 0.2047
2.5472 3.1811 -1.1967
Zr Ru Si
2 1 1
Direct
0.2500 0.5000 0.7500
0.7500 0.5000 0.2500
0.5000 0.0000 0.5000
0.0000 0.0000 0.0000
```



Here is a crystal of ZrSi2Ru relaxed with PBEsol from Alexandria. Energies are from meta-GGA SCAN.

Properties
ρ in g/cm3: 7.1
Symmetry: P4/mmm (123)
Total magnetic moment in μB/f.u.: 0.00
Density of states at the Fermi level in states/eV/atom: 0.217
Calculated volume in Å³ per cell: 58
Raw total energy in Ha/atom: -0.8106

Cell and atoms, written as POSCAR:
```
ZrSi2Ru
1.0
2.9519 0.0000 0.0000
0.0000 2.9519 0.0000
0.0000 0.0000 6.6884
Si Ru Zr
2 1 1
Direct
0.0000 0.0000 0.2886
0.0000 0.0000 0.7114
0.5000 0.5000 0.5000
0.5000 0.5000 0.0000
```



Here is a crystal of Zr2SiRu relaxed with PBEsol from Alexandria. Energies are from meta-GGA SCAN.

Properties
ρ in g/cm3: 7.9
Symmetry: F-43m (216)
Total magnetic moment in μB/f.u.: 1.91
Density of states at the Fermi level in states/eV/atom: 0.631
Calculated volume in Å³ per cell: 65
Raw total energy in Ha/atom: -0.9887

Cell and atoms, written as POSCAR:
```
Zr2SiRu
1.0
-0.6477 -2.2236 3.8864
-1.4538 -4.2838 -0.0600
2.7968 -3.3547 1.1800
Zr Si Ru
2 1 1
Direct
0.7500 0.7500 0.7500
0.0000 0.0000 0.0000
0.2500 0.2500 0.2500
0.5000 0.5000 0.5000
```



Here is a crystal of Zr2Si2Ru relaxed with PBEsol from Alexandria. Energies are from meta-GGA SCAN.

Properties
ρ in g/cm3: 6.9
Symmetry: P4/mbm (127)
Total magnetic moment in μB/f.u.: 0.00
Density of states at the Fermi level in states/eV/atom: 0.362
Calculated volume in Å³ per cell: 163
Raw total energy in Ha/atom: -0.8904

Cell and atoms, written as POSCAR:
```
Zr2Si2Ru
1.0
-2.7610 -2.5746 1.6055
4.3912 -2.2724 3.9077
-1.5631 4.3485 4.2852
Zr Si Ru
4 4 2
Direct
0.5000 0.3269 0.1731
0.5000 0.8269 0.3269
0.5000 0.6731 0.8269
0.5000 0.1731 0.6731
0.0000 0.3643 0.8643
0.0000 0.8643 0.6357
0.0000 0.6357 0.1357
0.0000 0.1357 0.3643
0.0000 0.5000 0.5000
0.0000 0.0000 0.0000
```



Here is a crystal of Sm3Ru relaxed with PBEsol from Alexandria. Energies are from meta-GGA SCAN.

Properties
ρ in g/cm3: 8.6
Symmetry: Pnma (62)
Total magnetic moment in μB/f.u.: 0.00
E_form in eV/atom: -0.301
Density of states at the Fermi level in states/eV/atom: 0.827
Calculated volume in Å³ per cell: 428
Raw total energy in Ha/atom: -1.5559

Cell and atoms, written as POSCAR:
```
Sm3Ru
1.0
6.2878 0.0000 0.0000
0.0000 7.2509 0.0000
0.0000 0.0000 9.3836
Sm Ru
12 4
Direct
0.6401 0.0407 0.2500
0.1690 0.1778 0.4344
0.3310 0.6778 0.4344
0.8310 0.8222 0.5656
0.6690 0.3222 0.9344
0.1690 0.1778 0.0656
0.8310 0.8222 0.9344
0.3310 0.6778 0.0656
0.6690 0.3222 0.5656
0.1401 0.4593 0.7500
0.3599 0.9593 0.7500
0.8599 0.5407 0.2500
0.0511 0.8862 0.2500
0.5511 0.6138 0.7500
0.4489 0.3862 0.2500
0.9489 0.1138 0.7500
```



Here is a crystal of Sm3Sn13Ru4 relaxed with PBEsol from Alexandria. Energies are from meta-GGA SCAN.

Properties
ρ in g/cm3: 8.9
Symmetry: Pm-3n (223)
Total magnetic moment in μB/f.u.: 0.00
E_form in eV/atom: -0.460
Density of states at the Fermi level in states/eV/atom: 0.363
Calculated volume in Å³ per cell: 896
Raw total energy in Ha/atom: -1.3759

Cell and atoms, written as POSCAR:
```
Sm3Sn13Ru4
1.0
-2.1105 9.3442 -1.0844
-3.8633 -1.8743 -8.6317
-8.5770 -1.4551 4.1548
Ru Sm Sn
8 6 26
Direct
0.2500 0.2500 0.7500
0.7500 0.2500 0.7500
0.7500 0.2500 0.2500
0.7500 0.7500 0.7500
0.2500 0.7500 0.7500
0.2500 0.2500 0.2500
0.2500 0.7500 0.2500
0.7500 0.7500 0.2500
0.5000 0.7500 0.0000
0.0000 0.5000 0.2500
0.5000 0.2500 0.0000
0.2500 0.0000 0.5000
0.7500 0.0000 0.5000
0.0000 0.5000 0.7500
0.1967 0.6543 0.5000
0.6967 0.0000 0.8457
0.6967 0.0000 0.1543
0.6543 0.5000 0.1967
0.3457 0.5000 0.8033
0.6543 0.5000 0.8033
0.3033 0.0000 0.1543
0.5000 0.1967 0.6543
0.5000 0.5000 0.5000
0.0000 0.0000 0.0000
0.5000 0.8033 0.3457
0.8457 0.3033 0.0000
0.5000 0.8033 0.6543
0.0000 0.1543 0.3033
0.0000 0.8457 0.6967
0.3033 0.0000 0.8457
0.8033 0.3457 0.5000
0.1543 0.3033 0.0000
0.8033 0.6543 0.5000
0.3457 0.5000 0.1967
0.1543 0.6967 0.0000
0.5000 0.1967 0.3457
0.8457 0.6967 0.0000
0.1967 0.3457 0.5000
0.0000 0.8457 0.3033
0.0000 0.1543 0.6967
```



Here is a crystal of SmSn6Ru4 relaxed with PBEsol from Alexandria. Energies are from meta-GGA SCAN.

Properties
ρ in g/cm3: 9.2
Symmetry: I-42m (121)
Total magnetic moment in μB/f.u.: 0.00
E_form in eV/atom: -0.370
Density of states at the Fermi level in states/eV/atom: 0.582
Calculated volume in Å³ per cell: 227
Raw total energy in Ha/atom: -1.3475

Cell and atoms, written as POSCAR:
```
SmSn6Ru4
1.0
-0.3254 4.8243 4.8245
-5.3740 -1.0641 -4.1337
-5.6825 -2.8648 2.4815
Sn Ru Sm
6 4 1
Direct
0.1168 0.5878 0.5289
0.5289 0.4122 0.4711
0.4711 0.5878 0.8832
0.5000 0.0000 0.0000
0.8832 0.4122 0.1168
0.0000 0.0000 0.5000
0.7492 0.1552 0.5940
0.5940 0.8448 0.4060
0.4060 0.1552 0.2508
0.2508 0.8448 0.7492
0.0000 0.0000 0.0000
```



Here is a crystal of SmTmRu2 relaxed with PBEsol from Alexandria. Energies are from meta-GGA SCAN.

Properties
ρ in g/cm3: 11.5
Symmetry: Fm-3m (225)
Total magnetic moment in μB/f.u.: 0.00
E_form in eV/atom: -0.379
Density of states at the Fermi level in states/eV/atom: 0.515
Calculated volume in Å³ per cell: 75
Raw total energy in Ha/atom: -1.5383

Cell and atoms, written as POSCAR:
```
SmTmRu2
1.0
4.7436 0.0000 0.0000
2.3718 4.1081 0.0000
2.3718 1.3694 3.8732
Ru Tm Sm
2 1 1
Direct
0.7500 0.7500 0.7500
0.2500 0.2500 0.2500
0.5000 0.5000 0.5000
0.0000 0.0000 0.0000
```



Here is a crystal of Sm2ZnRu relaxed with PBEsol from Alexandria. Energies are from meta-GGA SCAN.

Properties
ρ in g/cm3: 9.2
Symmetry: Fm-3m (225)
Total magnetic moment in μB/f.u.: 0.00
E_form in eV/atom: -0.354
Density of states at the Fermi level in states/eV/atom: 0.654
Calculated volume in Å³ per cell: 84
Raw total energy in Ha/atom: -1.2737

Cell and atoms, written as POSCAR:
```
Sm2ZnRu
1.0
-2.0204 -4.4543 -0.5734
-0.2623 -3.0953 3.8213
-4.3594 -1.0096 2.0562
Zn Sm Ru
1 2 1
Direct
0.0000 0.0000 0.0000
0.2500 0.2500 0.2500
0.7500 0.7500 0.7500
0.5000 0.5000 0.5000
```



Here is a crystal of TaSnRu3 relaxed with PBEsol from Alexandria. Energies are from meta-GGA SCAN.

Properties
ρ in g/cm3: 10.0
Symmetry: Pm-3m (221)
Total magnetic moment in μB/f.u.: 0.00
E_form in eV/atom: 1.378
Density of states at the Fermi level in states/eV/atom: 0.979
Calculated volume in Å³ per cell: 101
Raw total energy in Ha/atom: -1.4707

Cell and atoms, written as POSCAR:
```
TaSnRu3
1.0
4.6499 0.0000 0.0000
0.0000 4.6499 0.0000
0.0000 0.0000 4.6499
Ru Sn Ta
3 1 1
Direct
0.5000 0.0000 0.0000
0.0000 0.0000 0.5000
0.0000 0.5000 0.0000
0.5000 0.5000 0.5000
0.0000 0.0000 0.0000
```



Here is a crystal of SnTe3Ru relaxed with PBEsol from Alexandria. Energies are from meta-GGA SCAN.

Properties
ρ in g/cm3: 5.9
Symmetry: Pm-3m (221)
Total magnetic moment in μB/f.u.: 3.27
Density of states at the Fermi level in states/eV/atom: 0.735
Calculated volume in Å³ per cell: 169
Raw total energy in Ha/atom: -1.2936

Cell and atoms, written as POSCAR:
```
SnTe3Ru
1.0
-4.3521 3.3723 0.4927
-2.7929 -3.0711 -3.6502
-1.9531 -3.1228 4.1218
Te Ru Sn
3 1 1
Direct
0.5000 0.0000 0.0000
0.0000 0.5000 0.0000
0.0000 0.0000 0.5000
0.5000 0.5000 0.5000
0.0000 0.0000 0.0000
```



Here is a crystal of TiSn3Ru relaxed with PBEsol from Alexandria. Energies are from meta-GGA SCAN.

Properties
ρ in g/cm3: 6.7
Symmetry: Pm-3m (221)
Total magnetic moment in μB/f.u.: 2.84
E_form in eV/atom: 0.569
Density of states at the Fermi level in states/eV/atom: 1.395
Calculated volume in Å³ per cell: 126
Raw total energy in Ha/atom: -1.1449

Cell and atoms, written as POSCAR:
```
TiSn3Ru
1.0
-1.2495 -1.0955 -4.7260
3.8392 -3.2067 -0.2717
-2.9658 -3.6896 1.6394
Sn Ru Ti
3 1 1
Direct
0.5000 0.0000 0.0000
0.0000 0.5000 0.0000
0.0000 0.0000 0.5000
0.0000 0.0000 0.0000
0.5000 0.5000 0.5000
```